Compound: Hg2Pb7Au2
Source: Alexandria
Functional: PBE-GGA
Structure: relaxed

POSCAR file:
```
Hg2Pb7Au2
1.0
3.755 0.000 0.609
1.057 8.672 5.364
0.268 0.596 10.231
Pb Au Hg
7 2 2
Cartesian
2.850 4.515 6.188
1.628 6.977 13.729
3.930 4.006 11.417
3.291 0.635 3.472
2.382 6.304 9.080
2.162 0.761 10.435
0.797 1.634 6.973
0.875 6.808 6.487
2.409 3.291 8.911
1.332 3.147 3.668
3.900 7.675 11.599
```

Calculated values
crystal system	orthorhombic
density	11.649	g/cm³
formation energy from the elements	0.012	kcal/mol of atoms
raw total energy	-33.11	eV/f.u.
offset from the most stable computed form	0	meV per atom


Compound: Hg3PbAu
Source: Alexandria
Functional: PBE-GGA
Structure: relaxed

POSCAR file:
```
Hg3PbAu
1.0
-0.659 -1.932 5.041
4.078 -5.379 -1.528
2.608 7.852 3.350
Hg Pb Au
6 2 2
Cartesian
4.159 -0.718 1.736
1.394 4.052 6.135
3.678 5.136 3.916
4.633 -3.511 0.728
2.349 -4.596 2.947
1.868 1.258 5.127
2.168 -1.744 4.016
3.859 2.285 2.847
-0.329 -0.966 2.521
0.000 0.000 0.000
```

Calculated values
crystal system	monoclinic
density	12.364	g/cm³
formation energy from the elements	0.637	kcal/mol of atoms
raw total energy	-7.75	eV/f.u.
offset from the most stable computed form	17	meV per atom


Compound: Hg5Pb12Au2
Source: Alexandria
Functional: PBE-GGA
Structure: relaxed

POSCAR file:
```
Hg5Pb12Au2
1.0
7.080 -0.078 -0.035
0.070 8.296 4.533
0.002 -0.124 9.453
Hg Pb Au
5 12 2
Cartesian
3.149 6.238 10.719
0.173 5.861 10.033
3.540 -0.039 -0.018
6.979 2.233 3.918
4.003 1.856 3.232
2.180 1.502 6.061
1.969 4.455 7.651
5.465 5.222 3.293
4.948 3.578 9.651
1.687 2.872 10.659
1.727 7.855 7.747
5.183 3.639 6.300
6.233 0.633 1.170
0.920 7.461 12.781
4.972 6.592 7.890
2.204 4.517 4.300
5.425 0.239 6.204
0.052 6.040 5.851
0.020 2.132 8.135
```

Calculated values
crystal system	monoclinic
density	11.530	g/cm³
formation energy from the elements	0.725	kcal/mol of atoms
raw total energy	-51.97	eV/f.u.
offset from the most stable computed form	0	meV per atom


Compound: Hg2Pb8Au3
Source: Alexandria
Functional: PBE-GGA
Structure: relaxed

POSCAR file:
```
Hg2Pb8Au3
1.0
5.013 0.000 0.000
0.001 8.449 3.349
0.001 -0.145 9.097
Au Pb Hg
3 8 2
Cartesian
5.014 2.125 7.580
2.506 0.000 0.000
0.001 6.179 4.866
2.507 5.370 3.280
0.001 7.328 10.985
2.507 2.934 9.166
2.507 7.332 6.221
0.001 5.124 7.678
5.013 3.180 4.769
2.507 0.972 6.226
5.013 0.976 1.461
2.508 6.174 9.249
2.507 2.130 3.197
```

Calculated values
crystal system	orthorhombic
density	11.348	g/cm³
formation energy from the elements	0.314	kcal/mol of atoms
raw total energy	-39.93	eV/f.u.


Compound: HgPd2Pb2Au
Source: Alexandria
Functional: PBE-GGA
Structure: relaxed

POSCAR file:
```
HgPd2Pb2Au
1.0
5.687 0.000 0.000
0.000 5.656 0.000
-2.844 -2.828 8.036
Pd Au Hg Pb
4 2 2 4
Cartesian
0.000 4.176 2.143
2.844 -1.349 5.893
2.844 1.479 2.143
0.000 1.349 5.893
1.422 2.828 0.000
4.265 2.828 0.000
4.265 0.000 0.000
1.422 0.000 0.000
0.000 1.375 2.918
2.844 1.452 5.118
2.844 4.280 2.918
0.000 -1.452 5.118
```

Calculated values
crystal system	orthorhombic
density	13.168	g/cm³
formation energy from the elements	-3.386	kcal/mol of atoms
raw total energy	-22.26	eV/f.u.


Compound: PmHgPbAu
Source: Alexandria
Functional: PBE-GGA
Structure: relaxed

POSCAR file:
```
PmHgPbAu
1.0
4.923 0.000 0.000
0.000 4.923 -0.002
-2.461 -2.460 4.156
Pb Au Pm Hg
1 1 1 1
Cartesian
2.461 0.001 2.077
0.000 0.000 0.000
0.000 2.462 2.077
0.000 0.001 4.155
```

Calculated values
crystal system	tetragonal
density	12.365	g/cm³
formation energy from the elements	-10.961	kcal/mol of atoms
raw total energy	-13.94	eV/f.u.
offset from the most stable computed form	0	meV per atom


Compound: PmHgPbAu
Source: Alexandria
Functional: PBE-GGA
Structure: relaxed

POSCAR file:
```
PmHgPbAu
1.0
-1.890 -4.862 -0.213
-0.250 -2.896 4.337
-4.632 -1.096 2.143
Hg Au Pm Pb
1 1 1 1
Cartesian
-3.387 -4.426 3.133
0.000 0.000 0.000
-5.080 -6.640 4.700
-1.693 -2.213 1.567
```

Calculated values
crystal system	cubic
density	12.375	g/cm³
formation energy from the elements	-10.824	kcal/mol of atoms
raw total energy	-13.92	eV/f.u.
offset from the most stable computed form	6	meV per atom


Compound: PrHgPbAu
Source: Alexandria
Functional: PBE-GGA
Structure: relaxed

POSCAR file:
```
PrHgPbAu
1.0
-0.978 4.015 -3.258
0.898 -0.519 -5.159
-4.040 -0.263 -3.361
Pr Hg Au Pb
1 1 1 1
Cartesian
-3.090 2.424 -8.833
-2.060 1.616 -5.889
0.000 0.000 0.000
-1.030 0.808 -2.944
```

Calculated values
crystal system	cubic
density	12.019	g/cm³
formation energy from the elements	-11.125	kcal/mol of atoms
raw total energy	-14.00	eV/f.u.


Compound: PuHgPbAu
Source: Alexandria
Functional: PBE-GGA
Structure: relaxed

POSCAR file:
```
PuHgPbAu
1.0
-1.154 2.000 -4.657
2.368 -1.803 -4.262
-2.664 -2.827 -3.454
Hg Pu Pb Au
1 1 1 1
Cartesian
-0.725 -1.315 -6.186
-1.087 -1.972 -9.280
-0.362 -0.657 -3.093
0.000 0.000 0.000
```

Calculated values
crystal system	cubic
density	14.193	g/cm³
formation energy from the elements	-4.759	kcal/mol of atoms
raw total energy	-22.44	eV/f.u.


Compound: Rb2Hg6PbAu
Source: Alexandria
Functional: PBE-GGA
Structure: relaxed

POSCAR file:
```
Rb2Hg6PbAu
1.0
-5.133 6.133 2.881
-4.538 -0.847 -6.050
-6.985 -0.915 2.406
Hg Rb Au Pb
6 2 1 1
Cartesian
-5.618 1.263 -4.267
-9.318 0.227 1.453
-11.441 4.255 -1.125
-11.037 3.108 3.504
-5.215 0.116 0.362
-7.337 4.143 -2.216
-7.915 3.714 1.369
-8.741 0.657 -2.132
0.000 0.000 0.000
-4.835 2.643 -1.584
```

Calculated values
crystal system	triclinic
density	8.206	g/cm³
formation energy from the elements	-2.990	kcal/mol of atoms
raw total energy	-12.03	eV/f.u.


Compound: RbHg8PbAu2
Source: Alexandria
Functional: PBE-GGA
Structure: relaxed

POSCAR file:
```
RbHg8PbAu2
1.0
6.267 -0.636 1.304
2.327 5.854 1.304
3.143 1.908 10.142
Hg Rb Au Pb
8 1 2 1
Cartesian
6.501 5.984 9.164
2.701 1.640 1.619
8.309 3.008 9.164
5.235 1.142 3.585
7.230 4.390 6.591
9.035 5.486 11.130
4.507 2.736 6.158
3.428 4.118 3.585
1.571 0.954 5.071
6.317 3.836 3.909
5.419 3.290 8.841
0.000 0.000 0.000
```

Calculated values
crystal system	monoclinic
density	10.851	g/cm³
formation energy from the elements	-0.697	kcal/mol of atoms
raw total energy	-14.01	eV/f.u.


Compound: Rb2HgPbAu
Source: Alexandria
Functional: PBE-GGA
Structure: relaxed

POSCAR file:
```
Rb2HgPbAu
1.0
-6.137 2.042 -1.894
1.308 -1.934 -6.322
-1.995 -4.969 1.107
Rb Pb Au Hg
2 1 1 1
Cartesian
-3.068 1.021 -0.947
0.654 -0.967 -3.161
-0.997 -2.485 0.554
0.000 0.000 0.000
-3.412 -2.431 -3.554
```

Calculated values
crystal system	tetragonal
density	5.187	g/cm³
formation energy from the elements	-2.011	kcal/mol of atoms
raw total energy	-9.66	eV/f.u.